VASP calculation (PBE) on a geometry-optimized Pm6TlZn structure. Values from VASP.

Computed properties:
For the total moment, the calculation gives 0.00 μB/atom. The value obtained for the total energy is -4.17 eV/atom.

Quantum ESPRESSO input file:
```
&SYSTEM
  ibrav = 0, nat = 8, ntyp = 3
/
ATOMIC_SPECIES
Pm 145.00 Pm.upf
Tl 204.38 Tl.upf
Zn 65.41 Zn.upf
CELL_PARAMETERS angstrom
-4.5212 -2.7587 8.2711
-2.3198 4.2543 8.5429
0.1946 0.3193 -9.8144
ATOMIC_POSITIONS crystal
Pm 0.2499 0.2499 0.0000
Pm 0.8903 0.3903 0.5000
Pm 0.3903 0.8903 0.5000
Pm 0.1097 0.6097 0.5000
Pm 0.7501 0.7501 0.0000
Pm 0.6097 0.1097 0.5000
Tl 0.5000 0.5000 0.0000
Zn 0.0000 0.0000 0.0000
```

***

VASP calculation (PBE) on a geometry-optimized Pm3TlZn structure. Values from VASP.

Computed properties:
For the total moment, the calculation gives 0.14 μB/atom. The value obtained for the total energy is -3.80 eV/atom.

Quantum ESPRESSO input file:
```
&SYSTEM
  ibrav = 0, nat = 15, ntyp = 3
/
ATOMIC_SPECIES
Pm 145.00 Pm.upf
Tl 204.38 Tl.upf
Zn 65.41 Zn.upf
CELL_PARAMETERS angstrom
7.5315 0.0000 0.0000
0.0000 7.5315 0.0000
0.0000 0.0000 7.5315
ATOMIC_POSITIONS crystal
Pm 0.5000 0.5000 0.5000
Pm 0.2344 0.2344 0.2344
Pm 0.7656 0.7656 0.2344
Pm 0.7656 0.2344 0.7656
Pm 0.2344 0.7656 0.7656
Pm 0.2344 0.2344 0.7656
Pm 0.7656 0.7656 0.7656
Pm 0.2344 0.7656 0.2344
Pm 0.7656 0.2344 0.2344
Tl 0.0000 0.5000 0.5000
Tl 0.5000 0.0000 0.5000
Tl 0.5000 0.5000 0.0000
Zn 0.5000 0.0000 0.0000
Zn 0.0000 0.5000 0.0000
Zn 0.0000 0.0000 0.5000
```

***

VASP calculation (PBE) on a geometry-optimized Pm4TlZn2 structure. Values from VASP.

Computed properties:
For the total moment, the calculation gives 0.00 μB/atom. The value obtained for the total energy is -3.61 eV/atom.

Quantum ESPRESSO input file:
```
&SYSTEM
  ibrav = 0, nat = 7, ntyp = 3
/
ATOMIC_SPECIES
Pm 145.00 Pm.upf
Tl 204.38 Tl.upf
Zn 65.41 Zn.upf
CELL_PARAMETERS angstrom
-4.0172 3.1036 1.1916
-4.4396 -2.0578 1.8015
0.0310 1.0385 8.8091
ATOMIC_POSITIONS crystal
Pm 0.8675 0.8675 0.3975
Pm 0.1325 0.1325 0.6025
Pm 0.6145 0.6145 0.1566
Pm 0.3855 0.3855 0.8434
Tl 0.0000 0.0000 0.0000
Zn 0.7457 0.7457 0.7628
Zn 0.2543 0.2543 0.2372
```

***

VASP calculation (PBE) on a geometry-optimized Pm3Tl2Zn structure. Values from VASP.

Computed properties:
For the total moment, the calculation gives 0.00 μB/atom. The value obtained for the total energy is -3.72 eV/atom.

Quantum ESPRESSO input file:
```
&SYSTEM
  ibrav = 0, nat = 12, ntyp = 3
/
ATOMIC_SPECIES
Pm 145.00 Pm.upf
Tl 204.38 Tl.upf
Zn 65.41 Zn.upf
CELL_PARAMETERS angstrom
5.3994 0.0000 0.0000
-2.6997 4.6760 0.0000
0.0000 0.0000 13.2610
ATOMIC_POSITIONS crystal
Pm 0.3333 0.6667 0.4183
Pm 0.6667 0.3333 0.0907
Pm 0.0000 0.0000 0.7425
Pm 0.0000 0.0000 0.2575
Pm 0.3333 0.6667 0.9093
Pm 0.6667 0.3333 0.5817
Tl 0.0000 0.0000 0.5000
Tl 0.3333 0.6667 0.1700
Tl 0.6667 0.3333 0.8300
Tl 0.0000 0.0000 0.0000
Zn 0.3333 0.6667 0.6662
Zn 0.6667 0.3333 0.3338
```

***

VASP calculation (PBE) on a geometry-optimized Pm3Tl2Zn4 structure. Values from VASP.

Computed properties:
For the total moment, the calculation gives 0.00 μB/atom. The value obtained for the total energy is -3.02 eV/atom.

Quantum ESPRESSO input file:
```
&SYSTEM
  ibrav = 0, nat = 9, ntyp = 3
/
ATOMIC_SPECIES
Pm 145.00 Pm.upf
Tl 204.38 Tl.upf
Zn 65.41 Zn.upf
CELL_PARAMETERS angstrom
-3.0847 1.4348 3.2532
-2.0496 -4.4689 -3.3779
5.4429 -3.0244 6.4947
ATOMIC_POSITIONS crystal
Pm 0.6644 0.3289 0.6732
Pm 0.0000 0.0000 0.0000
Pm 0.3356 0.6711 0.3268
Tl 0.6146 0.2293 0.2781
Tl 0.3854 0.7707 0.7219
Zn 0.7188 0.4377 0.0378
Zn 0.2812 0.5623 0.9622
Zn 0.9327 0.8653 0.5879
Zn 0.0673 0.1347 0.4121
```

***

VASP calculation (PBE) on a geometry-optimized Pm2TlZn structure. Values from VASP.

Computed properties:
For the total moment, the calculation gives 0.00 μB/atom. The value obtained for the total energy is -3.64 eV/atom.

Quantum ESPRESSO input file:
```
&SYSTEM
  ibrav = 0, nat = 4, ntyp = 3
/
ATOMIC_SPECIES
Tl 204.38 Tl.upf
Zn 65.41 Zn.upf
Pm 145.00 Pm.upf
CELL_PARAMETERS angstrom
-3.6308 -0.5396 0.7537
-0.6704 -0.5754 -3.6417
1.3100 -7.4967 0.9434
ATOMIC_POSITIONS crystal
Tl 0.5000 0.5000 0.5000
Zn 0.5000 0.5000 0.0000
Pm 0.0000 0.0000 0.7726
Pm 0.0000 0.0000 0.2274
```

***

VASP calculation (PBE) on a geometry-optimized Pm4TlZn2 structure. Values from VASP.

Computed properties:
For the total moment, the calculation gives 0.00 μB/atom. The value obtained for the total energy is -3.49 eV/atom.

Quantum ESPRESSO input file:
```
&SYSTEM
  ibrav = 0, nat = 7, ntyp = 3
/
ATOMIC_SPECIES
Pm 145.00 Pm.upf
Tl 204.38 Tl.upf
Zn 65.41 Zn.upf
CELL_PARAMETERS angstrom
5.1075 0.0000 0.0000
2.5537 4.4232 0.0000
2.5537 1.4744 9.3107
ATOMIC_POSITIONS crystal
Pm 0.3822 0.3822 0.8535
Pm 0.2028 0.2028 0.3915
Pm 0.7972 0.7972 0.6085
Pm 0.6178 0.6178 0.1465
Tl 0.0000 0.0000 0.0000
Zn 0.0979 0.0979 0.7064
Zn 0.9021 0.9021 0.2936
```

***

VASP calculation (PBE) on a geometry-optimized Pm8Tl6Zn structure. Values from VASP.

Computed properties:
For the total moment, the calculation gives 0.00 μB/atom. The value obtained for the total energy is -3.76 eV/atom.

Quantum ESPRESSO input file:
```
&SYSTEM
  ibrav = 0, nat = 15, ntyp = 3
/
ATOMIC_SPECIES
Pm 145.00 Pm.upf
Tl 204.38 Tl.upf
Zn 65.41 Zn.upf
CELL_PARAMETERS angstrom
-4.2840 1.5274 8.3491
-1.2524 -7.1953 6.0870
3.6572 -0.6503 7.4088
ATOMIC_POSITIONS crystal
Pm 0.6465 0.1600 0.2967
Pm 0.8400 0.1032 0.7033
Pm 0.1032 0.3535 0.7033
Pm 0.6861 0.6861 0.9416
Pm 0.3139 0.3139 0.0584
Pm 0.8968 0.6465 0.2967
Pm 0.1600 0.8968 0.2967
Pm 0.3535 0.8400 0.7033
Tl 0.4493 0.0847 0.7943
Tl 0.9153 0.3283 0.2057
Tl 0.3283 0.5507 0.2057
Tl 0.6717 0.4493 0.7943
Tl 0.0847 0.6717 0.7943
Tl 0.5507 0.9153 0.2057
Zn 0.0000 0.0000 0.0000
```